(a)
Density functional theory data (PBE) for HfFe2CoH after structural relaxation.

POSCAR file:
```
HfFe2CoH
1.0
3.622 0.000 0.000
0.000 3.622 0.000
0.000 0.000 4.220
Co Hf Fe H
1 1 2 1
Direct
0.500 0.500 0.500 Co
0.000 0.000 0.500 Hf
0.000 0.500 0.000 Fe
0.500 0.000 0.000 Fe
0.000 0.000 0.000 H
```

Its spin magnetization is 0.7876 μB per atom. The space-group type is P4/mmm (123). For the density of states at the Fermi level, the calculation gives 4.6 states/eV per cell.


(b)
Density functional theory data (PBE) for HfFe2CoH after structural relaxation.

POSCAR file:
```
HfFe2CoH
1.0
-1.548 2.823 -1.888
-0.910 -2.343 -2.759
-3.421 -0.715 1.735
Co Hf Fe H
1 1 2 1
Direct
0.000 0.000 0.500 Co
0.500 0.500 0.500 Hf
0.000 0.500 0.000 Fe
0.500 0.000 0.000 Fe
0.000 0.000 0.000 H
```

Its spin magnetization is 0.7523 μB per atom. The space-group type is P4/mmm (123). For the density of states at the Fermi level, the calculation gives 4.9 states/eV per cell.


Most stable structure - (b); separation to the second - 21 meV per atom.


(a)
Density functional theory data (PBE) for HfFeCo2H after structural relaxation.

POSCAR file:
```
HfFeCo2H
1.0
3.694 0.000 0.000
0.000 3.694 0.000
0.000 0.000 3.977
Co Hf Fe H
2 1 1 1
Direct
0.000 0.500 0.000 Co
0.500 0.000 0.000 Co
0.000 0.000 0.500 Hf
0.500 0.500 0.500 Fe
0.000 0.000 0.000 H
```

Its spin magnetization is 0.5565 μB per atom. The space-group type is P4/mmm (123). For the density of states at the Fermi level, the calculation gives 4.4 states/eV per cell.


(b)
Density functional theory data (PBE) for HfFeCo2H after structural relaxation.

POSCAR file:
```
HfFeCo2H
1.0
3.779 0.000 0.000
0.000 3.779 0.000
0.000 0.000 3.737
Co Hf Fe H
2 1 1 1
Direct
0.000 0.500 0.000 Co
0.500 0.000 0.000 Co
0.500 0.500 0.500 Hf
0.000 0.000 0.500 Fe
0.000 0.000 0.000 H
```

Its spin magnetization is 0.5441 μB per atom. The space-group type is P4/mmm (123). For the density of states at the Fermi level, the calculation gives 5.1 states/eV per cell.


Most stable structure - (b); separation to the second - 65 meV per atom.


(a)
Density functional theory data (PBE) for Hf2FeCoH after structural relaxation.

POSCAR file:
```
Hf2FeCoH
1.0
4.429 0.000 0.000
0.000 4.429 0.000
0.000 0.000 3.313
Co Hf Fe H
1 2 1 1
Direct
0.000 0.000 0.500 Co
0.000 0.500 0.000 Hf
0.500 0.000 0.000 Hf
0.500 0.500 0.500 Fe
0.000 0.000 0.000 H
```

Its spin magnetization is 0.1824 μB per atom. The space-group type is P4/mmm (123). For the density of states at the Fermi level, the calculation gives 3.0 states/eV per cell.


(b)
Density functional theory data (PBE) for Hf2FeCoH after structural relaxation.

POSCAR file:
```
Hf2FeCoH
1.0
-0.155 -0.546 -4.395
-1.108 -4.253 0.567
-3.201 0.835 0.009
Co Hf Fe H
1 2 1 1
Direct
0.500 0.500 0.500 Co
0.000 0.500 0.000 Hf
0.500 0.000 0.000 Hf
0.000 0.000 0.500 Fe
0.000 0.000 0.000 H
```

Its spin magnetization is 0.2049 μB per atom. The space-group type is P4/mmm (123). For the density of states at the Fermi level, the calculation gives 3.7 states/eV per cell.


Most stable structure - (a); separation to the second - 8 meV per atom.


(a)
Density functional theory data (PBE) for Fe2CoHIr after structural relaxation.

POSCAR file:
```
Fe2CoHIr
1.0
-1.080 0.131 3.462
-3.185 -1.465 -0.938
1.356 -3.299 0.548
H Ir Co Fe
1 1 1 2
Direct
0.000 0.000 0.000 H
0.500 0.500 0.500 Ir
0.000 0.000 0.500 Co
0.000 0.500 0.000 Fe
0.500 0.000 0.000 Fe
```

Its spin magnetization is 0.0007 μB per atom. The space-group type is P4/mmm (123). For the density of states at the Fermi level, the calculation gives 7.6 states/eV per cell.


(b)
Density functional theory data (PBE) for Fe2CoHIr after structural relaxation.

POSCAR file:
```
Fe2CoHIr
1.0
-2.940 0.117 2.326
-0.894 -3.515 -0.954
2.140 -1.296 2.771
H Ir Co Fe
1 1 1 2
Direct
0.000 0.000 0.000 H
0.000 0.000 0.500 Ir
0.500 0.500 0.500 Co
0.000 0.500 0.000 Fe
0.500 0.000 0.000 Fe
```

Its spin magnetization is 1.4770 μB per atom. The space-group type is P4/mmm (123). For the density of states at the Fermi level, the calculation gives 5.6 states/eV per cell.


Most stable structure - (b); separation to the second - 17 meV per atom.


(a)
Density functional theory data (PBE) for MnFeCo2H after structural relaxation.

POSCAR file:
```
MnFeCo2H
1.0
-3.004 -1.813 0.246
0.351 -0.107 3.498
-1.832 3.074 0.278
H Mn Co Fe
1 1 2 1
Direct
0.000 0.000 0.000 H
0.500 0.500 0.500 Mn
0.000 0.500 0.000 Co
0.500 0.000 0.000 Co
0.000 0.000 0.500 Fe
```

Its spin magnetization is 0.4434 μB per atom. The space-group type is P4/mmm (123). For the density of states at the Fermi level, the calculation gives 8.8 states/eV per cell.


(b)
Density functional theory data (PBE) for MnFeCo2H after structural relaxation.

POSCAR file:
```
MnFeCo2H
1.0
-1.696 -1.804 2.478
1.807 -2.876 -0.857
2.564 0.894 2.405
H Mn Co Fe
1 1 2 1
Direct
0.000 0.000 0.000 H
0.000 0.000 0.500 Mn
0.000 0.500 0.000 Co
0.500 0.000 0.000 Co
0.500 0.500 0.500 Fe
```

Its spin magnetization is 0.4919 μB per atom. The space-group type is P4/mmm (123). For the density of states at the Fermi level, the calculation gives 7.0 states/eV per cell.


Most stable structure - (b); separation to the second - 22 meV per atom.


(a)
Density functional theory data (PBE) for Fe2CoMoH after structural relaxation.

POSCAR file:
```
Fe2CoMoH
1.0
-1.515 -1.956 2.702
-2.621 -1.136 -2.292
2.013 -2.813 -0.907
H Mo Co Fe
1 1 1 2
Direct
0.000 0.000 0.000 H
0.500 0.500 0.500 Mo
0.000 0.000 0.500 Co
0.000 0.500 0.000 Fe
0.500 0.000 0.000 Fe
```

Its spin magnetization is 0.0000 μB per atom. The space-group type is P4/mmm (123). For the density of states at the Fermi level, the calculation gives 2.8 states/eV per cell.


(b)
Density functional theory data (PBE) for Fe2CoMoH after structural relaxation.

POSCAR file:
```
Fe2CoMoH
1.0
3.590 0.000 0.000
0.000 3.590 0.000
0.000 0.000 3.801
H Mo Co Fe
1 1 1 2
Direct
0.000 0.000 0.000 H
0.000 0.000 0.500 Mo
0.500 0.500 0.500 Co
0.000 0.500 0.000 Fe
0.500 0.000 0.000 Fe
```

Its spin magnetization is 0.1366 μB per atom. The space-group type is P4/mmm (123). For the density of states at the Fermi level, the calculation gives 4.3 states/eV per cell.


Most stable structure - (a); separation to the second - 87 meV per atom.


(a)
Density functional theory data (PBE) for NbFe2CoH after structural relaxation.

POSCAR file:
```
NbFe2CoH
1.0
3.703 0.000 0.000
0.000 3.703 0.000
0.000 0.000 3.672
H Nb Co Fe
1 1 1 2
Direct
0.000 0.000 0.000 H
0.500 0.500 0.500 Nb
0.000 0.000 0.500 Co
0.000 0.500 0.000 Fe
0.500 0.000 0.000 Fe
```

Its spin magnetization is 0.1755 μB per atom. The space-group type is P4/mmm (123). For the density of states at the Fermi level, the calculation gives 4.7 states/eV per cell.


(b)
Density functional theory data (PBE) for NbFe2CoH after structural relaxation.

POSCAR file:
```
NbFe2CoH
1.0
3.626 0.000 0.000
0.000 3.626 0.000
0.000 0.000 3.974
H Nb Co Fe
1 1 1 2
Direct
0.000 0.000 0.000 H
0.000 0.000 0.500 Nb
0.500 0.500 0.500 Co
0.000 0.500 0.000 Fe
0.500 0.000 0.000 Fe
```

Its spin magnetization is 0.5543 μB per atom. The space-group type is P4/mmm (123). For the density of states at the Fermi level, the calculation gives 5.1 states/eV per cell.


Most stable structure - (a); separation to the second - 55 meV per atom.


(a)
Density functional theory data (PBE) for FeCoNi2H after structural relaxation.

POSCAR file:
```
FeCoNi2H
1.0
-2.933 0.891 1.746
-1.109 -3.346 -0.156
1.720 -0.722 3.258
Ni Co Fe H
2 1 1 1
Direct
0.000 0.500 0.000 Ni
0.500 0.000 0.000 Ni
0.500 0.500 0.500 Co
0.000 0.000 0.500 Fe
0.000 0.000 0.000 H
```

Its spin magnetization is 1.0693 μB per atom. The space-group type is P4/mmm (123). For the density of states at the Fermi level, the calculation gives 3.7 states/eV per cell.


(b)
Density functional theory data (PBE) for FeCoNi2H after structural relaxation.

POSCAR file:
```
FeCoNi2H
1.0
-1.248 -3.303 -0.481
0.192 -0.583 3.510
-3.434 1.240 0.394
Ni Co Fe H
2 1 1 1
Direct
0.000 0.500 0.000 Ni
0.500 0.000 0.000 Ni
0.000 0.000 0.500 Co
0.500 0.500 0.500 Fe
0.000 0.000 0.000 H
```

Its spin magnetization is 1.0574 μB per atom. The space-group type is P4/mmm (123). For the density of states at the Fermi level, the calculation gives 2.9 states/eV per cell.


Most stable structure - (b); separation to the second - 32 meV per atom.


(a)
Density functional theory data (PBE) for FeCo2HOs after structural relaxation.

POSCAR file:
```
FeCo2HOs
1.0
-1.682 -1.291 -2.946
-1.490 -2.634 2.005
-2.943 2.207 0.712
Co Os Fe H
2 1 1 1
Direct
0.000 0.500 0.000 Co
0.500 0.000 0.000 Co
0.000 0.000 0.500 Os
0.500 0.500 0.500 Fe
0.000 0.000 0.000 H
```

Its spin magnetization is 0.7272 μB per atom. The space-group type is P4/mmm (123). For the density of states at the Fermi level, the calculation gives 4.9 states/eV per cell.


(b)
Density functional theory data (PBE) for FeCo2HOs after structural relaxation.

POSCAR file:
```
FeCo2HOs
1.0
3.612 0.000 0.000
0.000 3.612 0.000
0.000 0.000 3.685
Co Os Fe H
2 1 1 1
Direct
0.000 0.500 0.000 Co
0.500 0.000 0.000 Co
0.500 0.500 0.500 Os
0.000 0.000 0.500 Fe
0.000 0.000 0.000 H
```

Its spin magnetization is 0.6296 μB per atom. The space-group type is P4/mmm (123). For the density of states at the Fermi level, the calculation gives 5.5 states/eV per cell.


Most stable structure - (b); separation to the second - 25 meV per atom.


(a)
Density functional theory data (PBE) for Fe2CoHOs after structural relaxation.

POSCAR file:
```
Fe2CoHOs
1.0
3.633 0.000 0.000
0.000 3.633 0.000
0.000 0.000 3.607
Co Os Fe H
1 1 2 1
Direct
0.000 0.000 0.500 Co
0.500 0.500 0.500 Os
0.000 0.500 0.000 Fe
0.500 0.000 0.000 Fe
0.000 0.000 0.000 H
```

Its spin magnetization is 0.3923 μB per atom. The space-group type is P4/mmm (123). For the density of states at the Fermi level, the calculation gives 6.8 states/eV per cell.


(b)
Density functional theory data (PBE) for Fe2CoHOs after structural relaxation.

POSCAR file:
```
Fe2CoHOs
1.0
3.653 0.000 0.000
0.000 3.653 0.000
0.000 0.000 3.735
Co Os Fe H
1 1 2 1
Direct
0.500 0.500 0.500 Co
0.000 0.000 0.500 Os
0.000 0.500 0.000 Fe
0.500 0.000 0.000 Fe
0.000 0.000 0.000 H
```

Its spin magnetization is 0.9155 μB per atom. The space-group type is P4/mmm (123). For the density of states at the Fermi level, the calculation gives 5.7 states/eV per cell.


Most stable structure - (a); separation to the second - 63 meV per atom.


(a)
Density functional theory data (PBE) for FeCoHPd2 after structural relaxation.

POSCAR file:
```
FeCoHPd2
1.0
3.843 0.000 0.000
0.000 3.843 0.000
0.000 0.000 3.889
H Co Fe Pd
1 1 1 2
Direct
0.000 0.000 0.000 H
0.500 0.500 0.500 Co
0.000 0.000 0.500 Fe
0.000 0.500 0.000 Pd
0.500 0.000 0.000 Pd
```

Its spin magnetization is 1.0672 μB per atom. The space-group type is P4/mmm (123). For the density of states at the Fermi level, the calculation gives 4.3 states/eV per cell.


(b)
Density functional theory data (PBE) for FeCoHPd2 after structural relaxation.

POSCAR file:
```
FeCoHPd2
1.0
3.882 0.000 0.000
0.000 3.882 0.000
0.000 0.000 3.791
H Co Fe Pd
1 1 1 2
Direct
0.000 0.000 0.000 H
0.000 0.000 0.500 Co
0.500 0.500 0.500 Fe
0.000 0.500 0.000 Pd
0.500 0.000 0.000 Pd
```

Its spin magnetization is 1.0586 μB per atom. The space-group type is P4/mmm (123). For the density of states at the Fermi level, the calculation gives 2.8 states/eV per cell.


Most stable structure - (b); separation to the second - 45 meV per atom.


(a)
Density functional theory data (PBE) for FeCoHPt2 after structural relaxation.

POSCAR file:
```
FeCoHPt2
1.0
3.906 0.000 0.000
0.000 3.906 0.000
0.000 0.000 3.672
H Co Fe Pt
1 1 1 2
Direct
0.000 0.000 0.000 H
0.000 0.000 0.500 Co
0.500 0.500 0.500 Fe
0.000 0.500 0.000 Pt
0.500 0.000 0.000 Pt
```

Its spin magnetization is 0.2153 μB per atom. The space-group type is P4/mmm (123). For the density of states at the Fermi level, the calculation gives 9.1 states/eV per cell.


(b)
Density functional theory data (PBE) for FeCoHPt2 after structural relaxation.

POSCAR file:
```
FeCoHPt2
1.0
-2.597 -0.345 -2.847
0.699 -3.801 -0.177
-2.803 -0.638 2.634
H Co Fe Pt
1 1 1 2
Direct
0.000 0.000 0.000 H
0.500 0.500 0.500 Co
0.000 0.000 0.500 Fe
0.000 0.500 0.000 Pt
0.500 0.000 0.000 Pt
```

Its spin magnetization is 1.1097 μB per atom. The space-group type is P4/mmm (123). For the density of states at the Fermi level, the calculation gives 3.4 states/eV per cell.


Most stable structure - (b); separation to the second - 228 meV per atom.


(a)
Density functional theory data (PBE) for FeCo2ReH after structural relaxation.

POSCAR file:
```
FeCo2ReH
1.0
3.593 0.000 0.000
0.000 3.593 0.000
0.000 0.000 3.683
Re Co Fe H
1 2 1 1
Direct
0.500 0.500 0.500 Re
0.000 0.500 0.000 Co
0.500 0.000 0.000 Co
0.000 0.000 0.500 Fe
0.000 0.000 0.000 H
```

Its spin magnetization is 0.1839 μB per atom. The space-group type is P4/mmm (123). For the density of states at the Fermi level, the calculation gives 5.3 states/eV per cell.


(b)
Density functional theory data (PBE) for FeCo2ReH after structural relaxation.

POSCAR file:
```
FeCo2ReH
1.0
3.593 0.000 0.000
0.000 3.593 0.000
0.000 0.000 3.808
Re Co Fe H
1 2 1 1
Direct
0.000 0.000 0.500 Re
0.000 0.500 0.000 Co
0.500 0.000 0.000 Co
0.500 0.500 0.500 Fe
0.000 0.000 0.000 H
```

Its spin magnetization is 0.4700 μB per atom. The space-group type is P4/mmm (123). For the density of states at the Fermi level, the calculation gives 6.2 states/eV per cell.


Most stable structure - (a); separation to the second - 64 meV per atom.


(a)
Density functional theory data (PBE) for Fe2CoReH after structural relaxation.

POSCAR file:
```
Fe2CoReH
1.0
3.648 0.000 0.000
0.000 3.648 0.000
0.000 0.000 3.561
Re Co Fe H
1 1 2 1
Direct
0.500 0.500 0.500 Re
0.000 0.000 0.500 Co
0.000 0.500 0.000 Fe
0.500 0.000 0.000 Fe
0.000 0.000 0.000 H
```

Its spin magnetization is 0.0002 μB per atom. The space-group type is P4/mmm (123). For the density of states at the Fermi level, the calculation gives 4.0 states/eV per cell.


(b)
Density functional theory data (PBE) for Fe2CoReH after structural relaxation.

POSCAR file:
```
Fe2CoReH
1.0
3.592 0.000 0.000
0.000 3.592 0.000
0.000 0.000 3.752
Re Co Fe H
1 1 2 1
Direct
0.000 0.000 0.500 Re
0.500 0.500 0.500 Co
0.000 0.500 0.000 Fe
0.500 0.000 0.000 Fe
0.000 0.000 0.000 H
```

Its spin magnetization is 0.1025 μB per atom. The space-group type is P4/mmm (123). For the density of states at the Fermi level, the calculation gives 4.7 states/eV per cell.


Most stable structure - (a); separation to the second - 101 meV per atom.